Entry 1:
Entry from the Alexandria database: NdBiPdAu after structural relaxation (PBE-GGA).

Unit cell a=7.1965 b=7.1965 c=7.1965 alpha=90.00 beta=90.00 gamma=90.00
Space group F-43m (No. 216)
Inequivalent atoms, fractional coordinates:
1 Nd 0.0000 0.0000 0.0000
2 Bi 0.0000 0.0000 0.5000
3 Pd 0.2500 0.2500 0.2500
4 Au 0.2500 0.2500 0.7500

Summary:
uncorrected energy: -4.910 eV/atom
total magnetic moment: 0.0 μB/f.u.

Entry 2:
Entry from the Alexandria database: Sr2CuPd5Au2 after structural relaxation (PBE-GGA).

Unit cell a=10.1055 b=10.1055 c=3.9286 alpha=90.00 beta=90.00 gamma=90.00
Space group P4/mbm (No. 127)
Inequivalent atoms, fractional coordinates:
1 Sr 0.1718 0.3282 0.0000
2 Cu 0.0000 0.0000 0.0000
3 Pd 0.0000 0.5000 0.5000
4 Pd 0.0545 0.8119 0.5000
5 Au 0.1292 0.6292 0.0000

Summary:
uncorrected energy: -4.350 eV/atom
total magnetic moment: 0.0 μB/f.u.

Entry 3:
Entry from the Alexandria database: Dy2ZrSc4 after structural relaxation (PBE-GGA).

Unit cell a=5.6733 b=12.0151 c=5.4459 alpha=90.00 beta=90.00 gamma=90.00
Space group Cmmm (No. 65)
Inequivalent atoms, fractional coordinates:
1 Dy 0.0000 0.1122 0.0000
2 Zr 0.0000 0.5000 0.5000
3 Sc 0.0000 0.2119 0.5000
4 Sc 0.0000 0.3704 0.0000

Summary:
uncorrected energy: -5.532 eV/atom
total magnetic moment: 1.1 μB/f.u.

Entry 4:
Entry from the Alexandria database: SbW3 after structural relaxation (PBE-GGA).

Unit cell a=5.7072 b=5.7072 c=4.8556 alpha=90.00 beta=90.00 gamma=120.00
Space group P6_3/mmc (No. 194)
Inequivalent atoms, fractional coordinates:
1 Sb 0.3333 0.6667 0.2500
2 W 0.1630 0.3261 0.7500

Summary:
formation energy (no corrections): 0.57 eV/atom
total magnetic moment: 0.0 μB/f.u.

Entry 5:
Entry from the Alexandria database: Li2InIr after structural relaxation (PBE-GGA).

Unit cell a=3.8327 b=3.8327 c=19.0128 alpha=90.00 beta=90.00 gamma=90.00
Space group I-42d (No. 122)
Inequivalent atoms, fractional coordinates:
1 Li 0.2124 0.7500 0.1250
2 In 0.0000 0.0000 0.5000
3 Ir 0.0000 0.0000 0.0000

Summary:
uncorrected energy: -3.854 eV/atom
total magnetic moment: 0.0 μB/f.u.

Entry 6:
Entry from the Alexandria database: LiNiHPd2 after structural relaxation (PBE-GGA).

Unit cell a=3.9219 b=3.9219 c=3.6735 alpha=90.00 beta=90.00 gamma=90.00
Space group P4/mmm (No. 123)
Inequivalent atoms, fractional coordinates:
1 Li 0.0000 0.0000 0.0000
2 Ni 0.5000 0.5000 0.0000
3 H 0.0000 0.0000 0.5000
4 Pd 0.0000 0.5000 0.5000

Summary:
uncorrected energy: -4.458 eV/atom
total magnetic moment: 1.0 μB/f.u.

Entry 7:
Entry from the Alexandria database: Cs2B2TeS6 after structural relaxation (PBE-GGA).

Unit cell a=14.4433 b=6.5640 c=8.1291 alpha=90.00 beta=113.54 gamma=90.00
Space group C2/m (No. 12)
Inequivalent atoms, fractional coordinates:
1 Cs 0.1773 0.0000 0.2050
2 B 0.0093 0.5000 0.2982
3 Te 0.0000 0.0000 0.5000
4 S 0.0735 0.2736 0.7520
5 S 0.1392 0.5000 0.3517

Summary:
formation energy (no corrections): -0.50 eV/atom
total magnetic moment: 0.0 μB/f.u.

Entry 8:
Entry from the Alexandria database: K2PuPdO4 after structural relaxation (PBE-GGA).

Unit cell a=6.8127 b=3.3476 c=6.8633 alpha=90.00 beta=119.57 gamma=90.00
Space group P2/m (No. 10)
Inequivalent atoms, fractional coordinates:
1 K 0.0000 0.0000 0.0000
2 K 0.5000 0.5000 0.0000
3 Pu 0.0000 0.0000 0.5000
4 Pd 0.5000 0.5000 0.5000
5 O 0.0705 0.5000 0.7324
6 O 0.3683 0.0000 0.5979

Summary:
formation energy (no corrections): -1.78 eV/atom
total magnetic moment: 4.0 μB/f.u.